A geometry-optimized ScPBr2 structure, computed with PBE.

Cell lengths 8.0676, 8.0676, 3.9924 Å; angles 92.58, 92.58, 25.69 degrees
Closest atoms and distances in Å follow each position.
Sites, in units of the cell vectors:
Sc 0.0000 0.0000 0.0000  4 P 2.68, 4 Br 2.94
P 0.5000 0.5000 0.5000  2 Br 2.56, 4 Sc 2.68
Br 0.3591 0.3591 0.7940  1 P 2.56
Br 0.6409 0.6409 0.2060  1 P 2.56

Properties
V (Å³ per cell): 113
Size of the total moment (μB per formula unit): 0.0
Energy relative to the elements, uncorrected (meV per atom): -942
Total DFT energy (no corrections) (eV/atom): -4.713

---

A geometry-optimized Pr2Mg3Cd4 structure, computed with PBE.

Cell lengths 5.1474, 5.1474, 9.8870 Å; angles 90.24, 90.24, 60.09 degrees
Closest atoms and distances in Å follow each position.
Sites, in units of the cell vectors:
Pr 0.1661 0.1661 0.2878  7 Cd 3.14-3.28
Pr 0.8339 0.8339 0.7122  7 Cd 3.14-3.28
Mg 0.1679 0.1679 0.9300  4 Cd 3.07-3.21, 3 Mg 3.27-3.30
Mg 0.5000 0.5000 0.5000  8 Cd 3.15-3.47
Mg 0.8321 0.8321 0.0700  4 Cd 3.07-3.21, 3 Mg 3.27-3.30
Cd 0.1668 0.1668 0.6051  4 Pr 3.14-3.16, 4 Mg 3.15-3.21
Cd 0.4986 0.4986 0.1491  1 Cd 2.95, 3 Mg 3.07-3.08, 3 Pr 3.27-3.28
Cd 0.5014 0.5014 0.8509  1 Cd 2.95, 3 Mg 3.07-3.08, 3 Pr 3.27-3.28
Cd 0.8332 0.8332 0.3949  4 Pr 3.14-3.16, 4 Mg 3.15-3.21

Properties
V (Å³ per cell): 227
Size of the total moment (μB per formula unit): 0.0
Total DFT energy (no corrections) (eV/atom): -2.254

---

A geometry-optimized HPd2W structure, computed with PBE.

Cell lengths 5.1608, 5.1608, 5.1608 Å; angles 103.33, 103.33, 122.61 degrees
Closest atoms and distances in Å follow each position.
Sites, in units of the cell vectors:
H 0.0000 0.0000 0.0000  4 Pd 1.95
H 0.7500 0.2500 0.5000  4 Pd 1.95
Pd 0.0197 0.6250 0.8947  2 H 1.95
Pd 0.3750 0.2697 0.3947  2 H 1.95
Pd 0.7303 0.1250 0.1053  2 H 1.95
Pd 0.8750 0.9803 0.6053  2 H 1.95
W 0.2500 0.7500 0.5000  2 H 2.48, 4 Pd 2.62
W 0.5000 0.5000 0.0000  2 H 2.48, 4 Pd 2.62

Properties
V (Å³ per cell): 102
Size of the total moment (μB per formula unit): 0.0
Total DFT energy (no corrections) (eV/atom): -6.266

---

A geometry-optimized LaSmTlTe structure, computed with PBE.

Cell lengths 4.5421, 4.5421, 6.4298 Å; angles 90.00, 90.00, 90.00 degrees
Closest atoms and distances in Å follow each position.
Sites, in units of the cell vectors:
La 0.0000 0.0000 0.0000  4 Tl 3.21, 2 Te 3.21
Sm 0.5000 0.5000 0.5000  4 Te 3.21, 2 Tl 3.21
Tl 0.5000 0.5000 0.0000  4 La 3.21, 2 Sm 3.21
Te 0.0000 0.0000 0.5000  4 Sm 3.21, 2 La 3.21

Properties
V (Å³ per cell): 133
Size of the total moment (μB per formula unit): 0.0
Energy relative to the elements, uncorrected (meV per atom): -881
Total DFT energy (no corrections) (eV/atom): -4.670

---

A geometry-optimized Y2HgWC structure, computed with PBE.

Cell lengths 5.0140, 5.0140, 4.0910 Å; angles 90.00, 90.00, 90.00 degrees
Closest atoms and distances in Å follow each position.
Sites, in units of the cell vectors:
Y 0.0000 0.5000 0.0000  2 C 2.51
Y 0.5000 0.0000 0.0000  2 C 2.51
Hg 0.0000 0.0000 0.5000  8 Y 3.24, 4 W 3.55
W 0.5000 0.5000 0.5000  2 C 2.05
C 0.5000 0.5000 0.0000  2 W 2.05

Properties
V (Å³ per cell): 103
Size of the total moment (μB per formula unit): 0.0
Total DFT energy (no corrections) (eV/atom): -7.246

---

A geometry-optimized Mg4TlRh structure, computed with PBE.

Cell lengths 7.3481, 7.3481, 5.6770 Å; angles 101.31, 101.31, 112.45 degrees
Closest atoms and distances in Å follow each position.
Sites, in units of the cell vectors:
Mg 0.0654 0.7227 0.9423  2 Rh 2.63-2.68
Mg 0.1896 0.3521 0.6389  2 Rh 2.70
Mg 0.2773 0.9346 0.5577  2 Rh 2.63-2.68
Mg 0.3521 0.1896 0.1389  2 Rh 2.70
Mg 0.6479 0.8104 0.8611  2 Rh 2.70
Mg 0.7227 0.0654 0.4423  2 Rh 2.63-2.68
Mg 0.8104 0.6479 0.3611  2 Rh 2.70
Mg 0.9346 0.2773 0.0577  2 Rh 2.63-2.68
Tl 0.3783 0.6217 0.2500  8 Mg 3.02-3.35
Tl 0.6217 0.3783 0.7500  8 Mg 3.02-3.35
Rh 0.0018 0.9982 0.7500  8 Mg 2.63-2.70, 2 Rh 2.84
Rh 0.9982 0.0018 0.2500  8 Mg 2.63-2.70, 2 Rh 2.84

Properties
V (Å³ per cell): 265
Size of the total moment (μB per formula unit): 0.0
Total DFT energy (no corrections) (eV/atom): -2.897

---

A geometry-optimized AlZnNi4 structure, computed with PBE.

Cell lengths 4.1868, 4.1868, 7.8933 Å; angles 115.11, 115.11, 36.11 degrees
Closest atoms and distances in Å follow each position.
Sites, in units of the cell vectors:
Al 0.0000 0.0000 0.0000  8 Ni 2.43-2.48, 2 Al 2.60
Zn 0.5000 0.5000 0.5000  8 Ni 2.45-2.47, 2 Zn 2.60
Ni 0.1558 0.1558 0.3443  1 Al 2.43, 3 Zn 2.45-2.47, 7 Ni 2.59-2.60
Ni 0.3476 0.3476 0.1519  3 Al 2.43-2.48, 1 Zn 2.46, 7 Ni 2.55-2.60
Ni 0.6524 0.6524 0.8481  3 Al 2.43-2.48, 1 Zn 2.46, 7 Ni 2.55-2.60
Ni 0.8442 0.8442 0.6557  1 Al 2.43, 3 Zn 2.45-2.47, 7 Ni 2.59-2.60

Properties
V (Å³ per cell): 73
Size of the total moment (μB per formula unit): 0.0
Total DFT energy (no corrections) (eV/atom): -4.837

---

A geometry-optimized Zr3SbAu structure, computed with PBE.

Cell lengths 5.1710, 5.1710, 5.1710 Å; angles 90.00, 90.00, 90.00 degrees
Closest atoms and distances in Å follow each position.
Sites, in units of the cell vectors:
Zr 0.0000 0.0000 0.5000  2 Au 2.59
Zr 0.0000 0.5000 0.0000  2 Au 2.59
Zr 0.5000 0.0000 0.0000  2 Au 2.59
Sb 0.5000 0.5000 0.5000  12 Zr 3.66
Au 0.0000 0.0000 0.0000  6 Zr 2.59

Properties
V (Å³ per cell): 138
Size of the total moment (μB per formula unit): 0.0
Energy relative to the elements, uncorrected (meV per atom): 355
Total DFT energy (no corrections) (eV/atom): -6.254